A plane-wave DFT calculation with PBE-GGA was carried out for crystalline Cr2SiCl at its relaxed geometry.

Properties
E_form (uncorrected), eV/atom: 0.240
Energy above the lowest structure with this stoichiometry, meV per atom: 231
Spin magnetization, μB/f.u.: 7.1
Space-group type: Pmm2, No. 25
Density, g/cm³: 4.2

a b c (Å): 3.155 5.313 3.997
angles (deg): 90.00 90.00 90.00
Fractional positions:
Cr (0.000, 0.000, 0.000)
Cr (0.500, 0.500, 0.495)
Si (0.000, 0.500, 0.995)
Cl (0.500, 0.000, 0.499)

***

A plane-wave DFT calculation with PBE-GGA was carried out for crystalline Si2MoP at its relaxed geometry.

Properties
E_form (uncorrected), eV/atom: -0.086
Spin magnetization, μB/f.u.: 0.0
Space-group type: Pm, No. 6
Density, g/cm³: 5.1

a b c (Å): 3.654 3.348 5.144
angles (deg): 90.00 109.98 90.00
Fractional positions:
Si (0.000, 0.000, 0.000)
Si (0.393, 0.500, 0.630)
Mo (0.796, 0.000, 0.454)
P (0.466, 0.500, 0.085)

***

A plane-wave DFT calculation with PBE-GGA was carried out for crystalline Nd3ZnHg2 at its relaxed geometry.

Properties
Energy relative to the elements, meV/atom: -406
Energy above the lowest structure with this stoichiometry, meV per atom: 12
Spin magnetization, μB/f.u.: 1.3
Space-group type: P-3m1, No. 164
Density, g/cm³: 9.1

a b c (Å): 5.370 5.370 13.136
angles (deg): 90.00 90.00 120.00
Fractional positions:
Nd (0.000, 0.000, 0.245)
Nd (0.000, 0.000, 0.755)
Nd (0.333, 0.667, 0.412)
Nd (0.333, 0.667, 0.917)
Nd (0.667, 0.333, 0.083)
Nd (0.667, 0.333, 0.588)
Zn (0.333, 0.667, 0.165)
Zn (0.667, 0.333, 0.835)
Hg (0.000, 0.000, 0.000)
Hg (0.000, 0.000, 0.500)
Hg (0.333, 0.667, 0.669)
Hg (0.667, 0.333, 0.331)

***

A plane-wave DFT calculation with PBE-GGA was carried out for crystalline Pm2Y3Ho6Th at its relaxed geometry.

Properties
Energy relative to the elements, meV/atom: 30
Spin magnetization, μB/f.u.: 0.0
Space-group type: C2/m, No. 12
Density, g/cm³: 7.7

a b c (Å): 6.178 6.178 11.789
angles (deg): 95.01 95.01 119.95
Fractional positions:
Pm (0.167, 0.833, 0.000)
Pm (0.833, 0.167, 0.000)
Y (0.000, 0.000, 0.500)
Y (0.333, 0.667, 0.500)
Y (0.667, 0.333, 0.500)
Ho (0.086, 0.416, 0.750)
Ho (0.255, 0.255, 0.250)
Ho (0.416, 0.086, 0.750)
Ho (0.584, 0.914, 0.250)
Ho (0.745, 0.745, 0.750)
Ho (0.914, 0.584, 0.250)
Th (0.500, 0.500, 0.000)